Entry from Alexandria: a relaxed structure of VPbO (GGA+U).

Results
Total DFT energy (no corrections), eV per atom: -5.659
Crystal system: orthorhombic

Cell lengths 11.093, 10.915, 4.785 Å; angles 79.53, 75.37, 25.10 degrees
Fractional coordinates of all 12 atoms:
V 0.058 0.058 0.192
V 0.192 0.192 0.058
V 0.808 0.808 0.942
V 0.942 0.942 0.808
Pb 0.301 0.301 0.449
Pb 0.449 0.449 0.301
Pb 0.551 0.551 0.699
Pb 0.699 0.699 0.551
O 0.046 0.704 0.046
O 0.296 0.954 0.296
O 0.704 0.046 0.704
O 0.954 0.296 0.954